The following is a DFT calculation (PBE-GGA) of NdSm3Cd6 after structural relaxation.

Cell lengths 9.407, 5.238, 11.263 Å; angles 90.00, 105.83, 90.00 degrees
Fractional coordinates of all 20 atoms:
Nd 0.057 0.250 0.389
Nd 0.943 0.750 0.611
Sm 0.236 0.250 0.998
Sm 0.351 0.750 0.792
Sm 0.476 0.250 0.609
Sm 0.524 0.750 0.391
Sm 0.649 0.250 0.208
Sm 0.764 0.750 0.002
Cd 0.052 0.750 0.902
Cd 0.144 0.750 0.194
Cd 0.151 0.250 0.695
Cd 0.242 0.750 0.496
Cd 0.341 0.250 0.291
Cd 0.450 0.750 0.093
Cd 0.550 0.250 0.907
Cd 0.659 0.750 0.709
Cd 0.758 0.250 0.504
Cd 0.849 0.750 0.305
Cd 0.856 0.250 0.806
Cd 0.948 0.250 0.098

Summary:
- M_tot (μB/atom) = 0.02
- DOS(E_F) (states/eV per cell) = 17.26
- raw total energy (eV per atom) = -2.736
- formation enthalpy at 0 K (kJ/mol of formula units) = -284.0